[1]
## SrTlCd2 (meta-GGA SCAN)

Data for SrTlCd2 at its PBEsol-relaxed geometry.

Unit cell a=3.6172 b=4.9208 c=6.2504 alpha=90.00 beta=98.94 gamma=90.00
With the nearest neighbours (Å) after each atom.
Space group Pm (No. 6)
Symmetry-distinct sites (fractional):
Sr (0.0000, 0.0000, 0.0000) x1  7 Cd 3.35-3.70, 4 Tl 3.39-3.56, 2 Sr 3.62
Tl (0.6170, 0.5000, 0.2673) x1  4 Cd 2.99-3.27
Cd (0.4107, 0.5000, 0.7385) x1  2 Cd 2.86, 1 Tl 3.15
Cd (0.4644, 0.0000, 0.5123) x1  2 Cd 2.86, 2 Tl 2.99

Results
- Fermi-level density of states (states/eV/cell) = 1.59
- crystal system = monoclinic
- calculated total energy (eV per atom) = -39.12
- size of the total moment (μB per formula unit) = 0.00

=====

[2]
## MoPt2Au (meta-GGA SCAN)

Data for MoPt2Au at its PBEsol-relaxed geometry.

Unit cell a=3.9878 b=3.9878 c=3.9054 alpha=90.00 beta=90.00 gamma=90.00
With the nearest neighbours (Å) after each atom.
Space group P4/mmm (No. 123)
Symmetry-distinct sites (fractional):
Mo (0.0000, 0.0000, 0.0000) x1  8 Pt 2.79, 4 Au 2.82
Pt (0.0000, 0.5000, 0.5000) x2  4 Mo 2.79, 4 Au 2.79, 4 Pt 2.82
Au (0.5000, 0.5000, 0.0000) x1  8 Pt 2.79, 4 Mo 2.82

Results
- polymorph energy (0 for the lowest one) (meV/atom) = 355.2
- Fermi-level density of states (states/eV/cell) = 2.71
- crystal system = tetragonal
- size of the total moment (μB per formula unit) = 2.97

=====

[3]
## NbFeH2 (meta-GGA SCAN)

Data for NbFeH2 at its PBEsol-relaxed geometry.

Unit cell a=3.9598 b=3.9598 c=8.5495 alpha=90.00 beta=90.00 gamma=90.00
With the nearest neighbours (Å) after each atom.
Space group I-42d (No. 122)
Symmetry-distinct sites (fractional):
Nb (0.0000, 0.0000, 0.0000) x4  4 H 1.93
Fe (0.0000, 0.0000, 0.5000) x4  4 H 1.62
H (0.1792, 0.2500, 0.6250) x8  2 Fe 1.62

Results
- Fermi-level density of states (states/eV/cell) = 8.56
- crystal system = tetragonal
- calculated total energy (eV per atom) = -14.49
- size of the total moment (μB per formula unit) = 2.23

=====

[4]
## Li4Ti2Mn3O10 (meta-GGA SCAN)

Data for Li4Ti2Mn3O10 at its PBEsol-relaxed geometry.

Unit cell a=5.0950 b=5.1516 c=7.8289 alpha=71.43 beta=73.32 gamma=77.82
With the nearest neighbours (Å) after each atom.
Space group P-1 (No. 2)
Symmetry-distinct sites (fractional):
Li (0.1227, 0.0602, 0.2614) x2  4 O 1.96-2.12
Li (0.2594, 0.9820, 0.8977) x2  5 O 2.01-2.15
Ti (0.4136, 0.5469, 0.1788) x2  4 O 1.85-1.98
Mn (0.1731, 0.4839, 0.6211) x2  5 O 1.92-2.07
Mn (0.5000, 0.0000, 0.5000) x1  6 O 2.01-2.15
O (0.0811, 0.7697, 0.1636) x2  1 Ti 1.85, 3 Li 1.96-2.06
O (0.1668, 0.2909, 0.4305) x2  3 Mn 1.94-2.09, 1 Li 2.12
O (0.2746, 0.7412, 0.7144) x2  2 Mn 1.92-2.01, 1 Li 2.05, 1 Ti 2.10
O (0.3874, 0.2783, 0.0538) x2  2 Ti 1.85-1.98, 2 Li 1.99-2.06
O (0.4978, 0.7513, 0.3263) x2  1 Mn 1.92, 1 Ti 1.97, 1 Li 2.11

Results
- Fermi-level density of states (states/eV/cell) = 0.28
- crystal system = triclinic
- formation energy (no corrections) (eV/atom) = -2.572
- size of the total moment (μB per formula unit) = 13.01

=====

[5]
## SrAl9Ni2 (meta-GGA SCAN)

Data for SrAl9Ni2 at its PBEsol-relaxed geometry.

Unit cell a=7.8624 b=7.8624 c=3.8972 alpha=90.00 beta=90.00 gamma=120.00
With the nearest neighbours (Å) after each atom.
Space group P6/mmm (No. 191)
Symmetry-distinct sites (fractional):
Sr (0.0000, 0.0000, 0.0000) x1  12 Al 3.48, 2 Sr 3.90
Al (0.0000, 0.5000, 0.0000) x3  2 Ni 2.27
Al (0.2118, 0.4236, 0.5000) x6  2 Ni 2.56, 4 Al 2.82
Ni (0.3333, 0.6667, 0.0000) x2  3 Al 2.27

Results
- Fermi-level density of states (states/eV/cell) = 3.28
- crystal system = hexagonal
- calculated total energy (eV per atom) = -10.78
- size of the total moment (μB per formula unit) = 0.02

=====

[6]
## LaZnCrP2 (meta-GGA SCAN)

Data for LaZnCrP2 at its PBEsol-relaxed geometry.

Unit cell a=4.7373 b=4.7373 c=4.5286 alpha=90.00 beta=90.00 gamma=90.00
With the nearest neighbours (Å) after each atom.
Space group P4/mmm (No. 123)
Symmetry-distinct sites (fractional):
La (0.0000, 0.0000, 0.0000) x1  8 P 3.28, 4 Cr 3.35
Zn (0.5000, 0.5000, 0.5000) x1  2 Cr 2.26, 4 P 2.37
Cr (0.5000, 0.5000, 0.0000) x1  2 Zn 2.26
P (0.0000, 0.5000, 0.5000) x2  2 Zn 2.37

Results
- Fermi-level density of states (states/eV/cell) = 2.30
- crystal system = tetragonal
- calculated total energy (eV per atom) = -19.18
- size of the total moment (μB per formula unit) = 4.94

=====

[7]
## KRuBr (meta-GGA SCAN)

Data for KRuBr at its PBEsol-relaxed geometry.

Unit cell a=4.0142 b=4.0142 c=5.4290 alpha=90.00 beta=90.00 gamma=120.00
With the nearest neighbours (Å) after each atom.
Space group P3m1 (No. 156)
Symmetry-distinct sites (fractional):
K (0.0000, 0.0000, 0.0000) x1  3 Br 3.26, 3 Ru 3.45
Ru (0.6667, 0.3333, 0.5305) x1  3 Br 2.39
Br (0.3333, 0.6667, 0.4220) x1  3 Ru 2.39

Results
- Fermi-level density of states (states/eV/cell) = 1.29
- crystal system = trigonal
- formation energy (no corrections) (eV/atom) = 0.389
- size of the total moment (μB per formula unit) = 0.72

=====

[8]
## KLi2La (meta-GGA SCAN)

Data for KLi2La at its PBEsol-relaxed geometry.

Unit cell a=7.9673 b=7.9673 c=7.9673 alpha=90.00 beta=90.00 gamma=90.00
With the nearest neighbours (Å) after each atom.
Space group F-43m (No. 216)
Symmetry-distinct sites (fractional):
K (0.0000, 0.0000, 0.0000) x4  4 La 3.45, 4 Li 3.45
Li (0.0000, 0.0000, 0.5000) x4  4 Li 3.45, 4 La 3.45
Li (0.2500, 0.2500, 0.7500) x4  4 K 3.45, 4 Li 3.45
La (0.2500, 0.2500, 0.2500) x4  4 Li 3.45, 4 K 3.45

Results
- Fermi-level density of states (states/eV/cell) = 15.79
- crystal system = cubic
- calculated total energy (eV per atom) = -13.62
- size of the total moment (μB per formula unit) = 1.53

=====

Please write out number 1 again, unchanged.
## SrTlCd2 (meta-GGA SCAN)

Data for SrTlCd2 at its PBEsol-relaxed geometry.

Unit cell a=3.6172 b=4.9208 c=6.2504 alpha=90.00 beta=98.94 gamma=90.00
With the nearest neighbours (Å) after each atom.
Space group Pm (No. 6)
Symmetry-distinct sites (fractional):
Sr (0.0000, 0.0000, 0.0000) x1  7 Cd 3.35-3.70, 4 Tl 3.39-3.56, 2 Sr 3.62
Tl (0.6170, 0.5000, 0.2673) x1  4 Cd 2.99-3.27
Cd (0.4107, 0.5000, 0.7385) x1  2 Cd 2.86, 1 Tl 3.15
Cd (0.4644, 0.0000, 0.5123) x1  2 Cd 2.86, 2 Tl 2.99

Results
- Fermi-level density of states (states/eV/cell) = 1.59
- crystal system = monoclinic
- calculated total energy (eV per atom) = -39.12
- size of the total moment (μB per formula unit) = 0.00